No. 1
Here is an optimized crystal structure of FeSb2TeI from the Alexandria database. Energies are from GGA-PBE.

a = 5.186 Å, b = 5.186 Å, c = 5.037 Å
α = 90.00°, β = 90.00°, γ = 90.00°
Last column: magnetic moment on the atom in μB.
Element x y z (fractional)
1 I 0.000 0.000 0.500  0.12
2 Sb 0.000 0.500 0.000  0.01
3 Sb 0.500 0.000 0.000  0.01
4 Te 0.500 0.500 0.500  -0.08
5 Fe 0.000 0.000 0.000  2.11

For the energy above the most stable polymorph in this dataset, the calculation gives 0.0106 eV/atom. The calculation puts the calculated density at 6.8 g/cm3. As for the formation energy without anion corrections: 0.395 eV per atom.

No. 2
Here is an optimized crystal structure of TiFeSbI2 from the Alexandria database. Energies are from GGA-PBE.

a = 5.407 Å, b = 5.407 Å, c = 5.562 Å
α = 90.00°, β = 90.00°, γ = 90.00°
Last column: magnetic moment on the atom in μB.
Element x y z (fractional)
1 I 0.000 0.500 0.000  0.00
2 I 0.500 0.000 0.000  0.00
3 Sb 0.000 0.000 0.500  -0.12
4 Fe 0.500 0.500 0.500  3.46
5 Ti 0.000 0.000 0.000  0.66

For the energy above the most stable polymorph in this dataset, the calculation gives 0.0000 eV/atom. The calculation puts the calculated density at 4.9 g/cm3. As for the formation energy without anion corrections: 0.651 eV per atom.

No. 3
Here is an optimized crystal structure of TiFeSbI2 from the Alexandria database. Energies are from GGA-PBE.

a = 5.414 Å, b = 5.414 Å, c = 4.934 Å
α = 90.00°, β = 90.00°, γ = 90.00°
Last column: magnetic moment on the atom in μB.
Element x y z (fractional)
1 I 0.000 0.500 0.000  -0.04
2 I 0.500 0.000 0.000  -0.04
3 Sb 0.000 0.000 0.500  -0.14
4 Fe 0.000 0.000 0.000  2.22
5 Ti 0.500 0.500 0.500  2.00

For the energy above the most stable polymorph in this dataset, the calculation gives 0.0565 eV/atom. The calculation puts the calculated density at 5.5 g/cm3. As for the formation energy without anion corrections: 0.708 eV per atom.

No. 4
Here is an optimized crystal structure of TlFeSbI2 from the Alexandria database. Energies are from GGA-PBE.

a = 5.692 Å, b = 5.692 Å, c = 4.805 Å
α = 90.00°, β = 90.00°, γ = 90.00°
Last column: magnetic moment on the atom in μB.
Element x y z (fractional)
1 I 0.000 0.500 0.000  0.01
2 I 0.500 0.000 0.000  0.01
3 Sb 0.000 0.000 0.500  0.03
4 Tl 0.500 0.500 0.500  0.00
5 Fe 0.000 0.000 0.000  -0.16

For the energy above the most stable polymorph in this dataset, the calculation gives 0.0000 eV/atom. The calculation puts the calculated density at 6.8 g/cm3. As for the formation energy without anion corrections: 0.193 eV per atom.

No. 5
Here is an optimized crystal structure of VFeSbI2 from the Alexandria database. Energies are from GGA-PBE.

a = 5.451 Å, b = 5.451 Å, c = 5.328 Å
α = 90.00°, β = 90.00°, γ = 90.00°
Last column: magnetic moment on the atom in μB.
Element x y z (fractional)
1 I 0.000 0.500 0.000  0.05
2 I 0.500 0.000 0.000  0.05
3 Sb 0.000 0.000 0.500  -0.17
4 Fe 0.500 0.500 0.500  3.47
5 V 0.000 0.000 0.000  2.05

For the energy above the most stable polymorph in this dataset, the calculation gives 0.0000 eV/atom. The calculation puts the calculated density at 5.1 g/cm3. As for the formation energy without anion corrections: 0.821 eV per atom.

No. 6
Here is an optimized crystal structure of VFeSb2I from the Alexandria database. Energies are from GGA-PBE.

a = 5.076 Å, b = 5.076 Å, c = 5.680 Å
α = 90.00°, β = 90.00°, γ = 90.00°
Last column: magnetic moment on the atom in μB.
Element x y z (fractional)
1 I 0.000 0.000 0.500  0.04
2 Sb 0.000 0.500 0.000  -0.12
3 Sb 0.500 0.000 0.000  -0.12
4 Fe 0.500 0.500 0.500  3.34
5 V 0.000 0.000 0.000  1.38

For the energy above the most stable polymorph in this dataset, the calculation gives 0.0000 eV/atom. The calculation puts the calculated density at 5.4 g/cm3. As for the formation energy without anion corrections: 0.872 eV per atom.

No. 7
Here is an optimized crystal structure of VFeSb2I from the Alexandria database. Energies are from GGA-PBE.

a = 4.832 Å, b = 4.832 Å, c = 5.506 Å
α = 90.00°, β = 90.00°, γ = 90.00°
Last column: magnetic moment on the atom in μB.
Element x y z (fractional)
1 I 0.000 0.000 0.500  0.02
2 Sb 0.000 0.500 0.000  -0.01
3 Sb 0.500 0.000 0.000  -0.01
4 Fe 0.000 0.000 0.000  1.24
5 V 0.500 0.500 0.500  -0.29

For the energy above the most stable polymorph in this dataset, the calculation gives 0.1483 eV/atom. The calculation puts the calculated density at 6.2 g/cm3. As for the formation energy without anion corrections: 1.021 eV per atom.

No. 8
Here is an optimized crystal structure of VFeSbI2 from the Alexandria database. Energies are from GGA-PBE.

a = 5.456 Å, b = 5.456 Å, c = 4.885 Å
α = 90.00°, β = 90.00°, γ = 90.00°
Last column: magnetic moment on the atom in μB.
Element x y z (fractional)
1 I 0.000 0.500 0.000  -0.05
2 I 0.500 0.000 0.000  -0.05
3 Sb 0.000 0.000 0.500  -0.18
4 Fe 0.000 0.000 0.000  2.21
5 V 0.500 0.500 0.500  3.15

For the energy above the most stable polymorph in this dataset, the calculation gives 0.0241 eV/atom. The calculation puts the calculated density at 5.5 g/cm3. As for the formation energy without anion corrections: 0.845 eV per atom.

| no. | magnetic moment (μB/cell) |
| --- | --- |
| 1 | 2.2 |
| 2 | 4.4 |
| 3 | 4.6 |
| 4 | 0.1 |
| 5 | 6.0 |
| 6 | 4.8 |
| 7 | 1.0 |
| 8 | 5.8 |